[1]
# NpGeMo

An optimized crystal structure of NpGeMo (PBE-GGA, Alexandria).

Cell: 4.8306 4.8306 2.6993 Å, 90.00 90.00 120.00°
Sites, in units of the cell vectors:
Np (0.0000, 0.0000, 0.0000)
Ge (0.3333, 0.6667, 0.5000)
Mo (0.6667, 0.3333, 0.5000)

- volume (Å³ per atom) = 18.2
- symmetry = P-6m2
- ΔE_f (eV/f.u.) = 0.613



[2]
# NpGe6Mo5

An optimized crystal structure of NpGe6Mo5 (PBE-GGA, Alexandria).

Cell: 7.1490 7.1490 6.5416 Å, 90.03 90.03 143.28°
Sites, in units of the cell vectors:
Np (0.0000, 0.0000, 0.0000)
Ge (0.1707, 0.8283, 0.2810)
Ge (0.1717, 0.8293, 0.7190)
Ge (0.4999, 0.4999, 0.2769)
Ge (0.5001, 0.5001, 0.7231)
Ge (0.8283, 0.1707, 0.2810)
Ge (0.8293, 0.1717, 0.7190)
Mo (0.0000, 0.0000, 0.5000)
Mo (0.3061, 0.6939, 0.0000)
Mo (0.3316, 0.6684, 0.5000)
Mo (0.6684, 0.3316, 0.5000)
Mo (0.6939, 0.3061, 0.0000)

- volume (Å³ per atom) = 16.7
- symmetry = C2/m
- ΔE_f (eV/f.u.) = 1.101



no.,density of states at the Fermi level (states/eV/cell),total magnetic moment (μB/atom)
1,5.04,0.809
2,15.63,0.318